(1)
A relaxed structure of MnCrSe2. Source: the Alexandria database, functional PBEsol.

a b c (Å): 3.2859 3.2862 6.8340
angles (deg): 90.00 103.91 90.00
Site moments in Bohr magnetons follow the coordinates.
Sites, in units of the cell vectors:
Mn: 0.8159 0.5000 0.6317  2.95
Se: 0.2468 0.0000 0.4936  -0.06
Se: 0.0038 0.5000 0.0075  -0.07
Cr: 0.4336 0.0000 0.8671  2.60

**E**: -7.15 eV/atom

---

(2)
A relaxed structure of Mn3CrSe. Source: the Alexandria database, functional PBEsol.

a b c (Å): 4.3388 4.3388 4.3388
angles (deg): 90.00 90.00 90.00
Site moments in Bohr magnetons follow the coordinates.
Sites, in units of the cell vectors:
Mn: 0.0000 0.0000 0.5000  2.91
Se: 0.5000 0.5000 0.5000  0.00
Mn: 0.5000 0.0000 0.0000  2.91
Cr: 0.0000 0.0000 0.0000  -2.02
Mn: 0.0000 0.5000 0.0000  2.91

**E**: -7.64 eV/atom

---

(3)
A relaxed structure of MnZn3Cr8Se16. Source: the Alexandria database, functional PBEsol.

a b c (Å): 7.3753 7.3753 12.7748
angles (deg): 73.22 73.22 60.00
Site moments in Bohr magnetons follow the coordinates.
Sites, in units of the cell vectors:
Cr: 0.5004 0.0003 0.4990  2.99
Se: 0.9008 0.3599 0.3794  -0.07
Se: 0.3599 0.9008 0.3794  -0.07
Cr: 0.0003 0.0003 0.4990  2.99
Se: 0.6403 0.0996 0.6198  -0.06
Se: 0.3599 0.3599 0.3794  -0.07
Mn: 0.4374 0.4374 0.6878  4.04
Se: 0.8596 0.4000 0.8808  -0.07
Cr: 0.9992 0.4999 0.0009  2.97
Se: 0.1403 0.5994 0.1200  -0.07
Se: 0.8596 0.8596 0.8808  -0.07
Se: 0.3698 0.3698 0.8905  -0.06
Cr: 0.4999 0.9992 0.0009  2.97
Se: 0.6299 0.6299 0.1102  -0.06
Cr: 0.2502 0.2502 0.2495  2.94
Se: 0.1302 0.1302 0.6093  -0.07
Cr: 0.0003 0.5004 0.4990  2.99
Se: 0.1403 0.1403 0.1200  -0.07
Se: 0.8700 0.8700 0.3900  -0.07
Zn: 0.9376 0.9376 0.1872  0.03
Se: 0.4000 0.8596 0.8808  -0.07
Zn: 0.5625 0.5625 0.3126  0.03
Zn: 0.0625 0.0625 0.8124  0.03
Se: 0.0996 0.6403 0.6198  -0.06
Se: 0.5994 0.1403 0.1200  -0.07
Cr: 0.7498 0.7498 0.7507  3.02
Se: 0.6403 0.6403 0.6198  -0.06
Cr: 0.4999 0.4999 0.0009  2.97

**E**: -6.15 eV/atom

---

(4)
A relaxed structure of MnCr2Si. Source: the Alexandria database, functional PBEsol.

a b c (Å): 2.8565 3.8132 4.6312
angles (deg): 114.31 107.96 90.00
Sites, in units of the cell vectors:
Si: 0.0000 0.5000 0.0000
Cr: 0.2446 0.2446 0.4891
Mn: 0.5000 0.0000 0.0000
Cr: 0.7554 0.7554 0.5109

**E**: -9.34 eV/atom

---

(5)
A relaxed structure of MnCrSi2. Source: the Alexandria database, functional PBEsol.

a b c (Å): 4.5208 4.5163 4.4985
angles (deg): 90.00 90.00 90.56
Site moments in Bohr magnetons follow the coordinates.
Sites, in units of the cell vectors:
Mn: 0.8599 0.6140 0.1382  0.91
Cr: 0.6336 0.1078 0.8627  0.58
Si: 0.8518 0.0990 0.3460  -0.03
Cr: 0.3664 0.8922 0.3627  0.58
Si: 0.3426 0.4077 0.1531  -0.03
Mn: 0.1401 0.3860 0.6382  0.91
Si: 0.1482 0.9010 0.8460  -0.03
Si: 0.6574 0.5923 0.6531  -0.03

**E**: -8.31 eV/atom

---

(6)
A relaxed structure of MnCr2Si. Source: the Alexandria database, functional PBEsol.

a b c (Å): 2.4883 2.4883 8.2839
angles (deg): 74.56 74.56 68.10
Site moments in Bohr magnetons follow the coordinates.
Sites, in units of the cell vectors:
Si: 0.2469 0.2469 0.2540  -0.01
Cr: 0.7524 0.7524 0.7472  -0.08
Cr: 0.0960 0.0960 0.9954  -0.01
Mn: 0.4047 0.4047 0.5034  0.89

**E**: -9.04 eV/atom

---

(7)
A relaxed structure of MnCrSi. Source: the Alexandria database, functional PBEsol.

a b c (Å): 2.7713 2.7713 4.6380
angles (deg): 107.38 107.38 90.00
Sites, in units of the cell vectors:
Mn: 0.3345 0.3345 0.6690
Si: 0.6700 0.6700 0.3399
Cr: 0.9955 0.9955 0.9911

**E**: -8.93 eV/atom

---

(8)
A relaxed structure of TaMnCr2. Source: the Alexandria database, functional PBEsol.

a b c (Å): 2.6311 4.0041 4.8812
angles (deg): 90.00 100.39 90.00
Sites, in units of the cell vectors:
Ta: 0.2503 0.5000 0.7458
Cr: 0.7563 0.5000 0.2453
Cr: 0.9997 0.0000 0.0281
Mn: 0.4937 0.0000 0.4808

**ΔE to the lowest computed polymorph**: 67 meV/atom
**ΔH_f (0 K)**: 0.1157 eV per atom

---

(9)
A relaxed structure of TaMnCr2. Source: the Alexandria database, functional PBEsol.

a b c (Å): 2.6187 4.7748 4.8186
angles (deg): 116.40 100.31 100.79
Site moments in Bohr magnetons follow the coordinates.
Sites, in units of the cell vectors:
Ta: 0.0000 0.5000 0.0000  -0.02
Cr: 0.5000 0.5000 0.5000  -0.04
Cr: 0.0000 0.0000 0.5000  -0.04
Mn: 0.5000 0.0000 0.0000  0.32

**ΔE to the lowest computed polymorph**: 88 meV/atom
**ΔH_f (0 K)**: 0.1371 eV per atom

---

(10)
A relaxed structure of TaMnCr2. Source: the Alexandria database, functional PBEsol.

a b c (Å): 2.9399 4.1155 4.8735
angles (deg): 114.98 107.55 90.00
Sites, in units of the cell vectors:
Ta: 0.5000 0.0000 0.0000
Cr: 0.7449 0.7449 0.4898
Cr: 0.2551 0.2551 0.5102
Mn: 0.0000 0.5000 0.0000

**ΔE to the lowest computed polymorph**: 0 meV/atom
**ΔH_f (0 K)**: 0.0487 eV per atom

---

(11)
A relaxed structure of TaMn3Cr. Source: the Alexandria database, functional PBEsol.

a b c (Å): 4.0697 4.0697 4.0697
angles (deg): 90.00 90.00 90.00
Sites, in units of the cell vectors:
Mn: 0.0000 0.5000 0.0000
Mn: 0.0000 0.0000 0.5000
Ta: 0.5000 0.5000 0.5000
Cr: 0.0000 0.0000 0.0000
Mn: 0.5000 0.0000 0.0000

**ΔH_f (0 K)**: 0.9426 eV per atom

---

(12)
A relaxed structure of MnCrTc2. Source: the Alexandria database, functional PBEsol.

a b c (Å): 2.5689 2.5689 8.1445
angles (deg): 90.00 90.00 108.47
Site moments in Bohr magnetons follow the coordinates.
Sites, in units of the cell vectors:
Tc: 0.0000 0.0000 0.2493  -0.08
Cr: 0.5000 0.5000 0.5000  -0.05
Tc: 0.0000 0.0000 0.7507  -0.08
Mn: 0.5000 0.5000 0.0000  2.03

**ΔH_f (0 K)**: 0.1583 eV per atom

---

(13)
A relaxed structure of Mn4CrTc. Source: the Alexandria database, functional PBEsol.

a b c (Å): 4.5624 4.5624 4.5624
angles (deg): 60.00 60.00 60.00
Sites, in units of the cell vectors:
Mn: 0.6261 0.6261 0.6261
Tc: 0.2500 0.2500 0.2500
Mn: 0.1218 0.6261 0.6261
Cr: 0.0000 0.0000 0.0000
Mn: 0.6261 0.1218 0.6261
Mn: 0.6261 0.6261 0.1218

**ΔH_f (0 K)**: 0.0232 eV per atom

---

(14)
A relaxed structure of Mn3CrTe4. Source: the Alexandria database, functional PBEsol.

a b c (Å): 4.1084 4.1084 11.5439
angles (deg): 90.00 90.00 120.00
Site moments in Bohr magnetons follow the coordinates.
Sites, in units of the cell vectors:
Te: 0.3333 0.6667 0.3751  0.00
Te: 0.6667 0.3333 0.1232  -0.05
Cr: 0.0000 0.0000 0.0000  3.24
Mn: 0.0000 0.0000 0.2529  3.59
Mn: 0.0000 0.0000 0.5000  3.59
Te: 0.6667 0.3333 0.6249  0.00
Te: 0.3333 0.6667 0.8768  -0.05
Mn: 0.0000 0.0000 0.7471  3.59

**E**: -6.67 eV/atom

---

(15)
A relaxed structure of Mn2CrTe. Source: the Alexandria database, functional PBEsol.

a b c (Å): 3.7642 3.7642 5.6182
angles (deg): 70.43 70.43 60.00
Site moments in Bohr magnetons follow the coordinates.
Sites, in units of the cell vectors:
Te: 0.4924 0.4924 0.5227  -0.08
Mn: 0.7218 0.7218 0.8346  2.06
Cr: 0.2766 0.2766 0.1702  2.52
Mn: 0.0092 0.0092 0.9725  -2.30

**E**: -7.79 eV/atom

---

(16)
A relaxed structure of Mn4CrTe. Source: the Alexandria database, functional PBEsol.

a b c (Å): 4.7311 4.7311 4.7311
angles (deg): 60.00 60.00 60.00
Site moments in Bohr magnetons follow the coordinates.
Sites, in units of the cell vectors:
Mn: 0.6248 0.6248 0.1256  1.05
Mn: 0.1256 0.6248 0.6248  1.05
Mn: 0.6248 0.1256 0.6248  1.05
Cr: 0.0000 0.0000 0.0000  -2.21
Te: 0.2500 0.2500 0.2500  -0.01
Mn: 0.6248 0.6248 0.6248  1.05

**E**: -8.39 eV/atom

---

(17)
A relaxed structure of MnTlCr. Source: the Alexandria database, functional PBEsol.

a b c (Å): 2.9947 2.9947 6.2157
angles (deg): 90.00 90.00 120.00
Site moments in Bohr magnetons follow the coordinates.
Sites, in units of the cell vectors:
Cr: 0.0000 0.0000 0.9469  -1.68
Tl: 0.3333 0.6667 0.3359  -0.01
Mn: 0.6667 0.3333 0.7172  1.87

**ΔE to the lowest computed polymorph**: 0 meV/atom
**ΔH_f (0 K)**: 0.6325 eV per atom

---

(18)
A relaxed structure of MnTlCr. Source: the Alexandria database, functional PBEsol.

a b c (Å): 4.3292 4.3292 4.3292
angles (deg): 60.00 60.00 60.00
Site moments in Bohr magnetons follow the coordinates.
Sites, in units of the cell vectors:
Mn: 0.0000 0.0000 0.0000  -3.45
Cr: 0.2500 0.2500 0.2500  3.12
Tl: 0.5000 0.5000 0.5000  0.05

**ΔE to the lowest computed polymorph**: 272 meV/atom
**ΔH_f (0 K)**: 0.9042 eV per atom

---

(19)
A relaxed structure of MnTlCr2. Source: the Alexandria database, functional PBEsol.

a b c (Å): 4.0378 4.5913 4.0378
angles (deg): 63.91 90.00 116.09
Site moments in Bohr magnetons follow the coordinates.
Sites, in units of the cell vectors:
Cr: 0.0000 0.0000 0.0000  2.54
Mn: 0.5000 0.0000 0.5000  2.79
Cr: 0.2500 0.5000 0.2500  -2.35
Tl: 0.7500 0.5000 0.7500  -0.02

**ΔH_f (0 K)**: 0.6032 eV per atom

---

(20)
A relaxed structure of MnCrW. Source: the Alexandria database, functional PBEsol.

a b c (Å): 2.7509 2.7509 5.3219
angles (deg): 104.98 104.98 90.00
Sites, in units of the cell vectors:
Cr: 0.0225 0.0225 0.0450
W: 0.3313 0.3313 0.6626
Mn: 0.6462 0.6462 0.2923

**ΔE to the lowest computed polymorph**: 0 meV/atom
**ΔH_f (0 K)**: 0.1671 eV per atom

---

| no. | total moment (μB/f.u.) | calculated density (kg/m³) |
| --- | --- | --- |
| 1 | 5.7 | 6140 |
| 2 | 7.0 | 6013 |
| 3 | 29.0 | 5650 |
| 4 | 0.0 | 7179 |
| 5 | 1.4 | 5898 |
| 6 | 0.8 | 6891 |
| 7 | 0.0 | 6944 |
| 8 | 0.0 | 11158 |
| 9 | 0.2 | 11153 |
| 10 | 0.0 | 11197 |
| 11 | 0.0 | 9799 |
| 12 | 1.9 | 9868 |
| 13 | 0.0 | 9143 |
| 14 | 14.9 | 7156 |
| 15 | 2.3 | 7561 |
| 16 | 1.9 | 8856 |
| 17 | 0.1 | 10709 |
| 18 | 0.2 | 9011 |
| 19 | 3.1 | 10292 |
| 20 | 0.0 | 12880 |